No. 1
The following is a DFT calculation (GGA-PBE) of an optimized crystal structure of NbTl6Br12.

Lattice parameters (Å, degrees): 13.1015 13.1015 15.9772 90.00 90.00 120.00
Closest atoms and distances in Å follow each position.
Space group R-3 (No. 148, hexagonal axes)
Inequivalent atoms, fractional coordinates:
Nb 0.0000 0.0000 0.0000  6 Br 2.56
Tl 0.0332 0.7580 0.5954  4 Br 3.13-3.28
Br 0.0272 0.8045 0.3971  4 Tl 3.13-3.28
Br 0.0860 0.1839 0.9079  1 Nb 2.56

Summary:
The calculation puts the calculated volume at 2375 Å³/cell. For the uncorrected formation energy, the calculation gives -777 meV/atom. The size of the total moment is 0.00 Bohr magnetons per cell. The total energy is -3.1110 eV per atom.


No. 2
The following is a DFT calculation (GGA-PBE) of an optimized crystal structure of Nb3Tl2Br10.

Lattice parameters (Å, degrees): 25.4543 7.4648 10.5977 90.00 111.23 90.00
Closest atoms and distances in Å follow each position.
Space group C2/m (No. 12)
Inequivalent atoms, fractional coordinates:
Nb 0.0000 0.2157 0.0000  6 Br 2.63-2.73
Nb 0.0656 0.0000 0.4791  6 Br 2.64-2.75
Nb 0.1767 0.0000 0.0279  6 Br 2.61-2.75
Tl 0.1395 0.5000 0.7149  3 Br 3.21-3.30
Tl 0.2415 0.0000 0.6407  3 Br 3.23-3.40
Br 0.0000 0.2664 0.5000  2 Nb 2.66
Br 0.0088 0.0000 0.2033  3 Nb 2.63-2.75
Br 0.0140 0.5000 0.1717  2 Nb 2.73
Br 0.1099 0.2513 0.0537  2 Nb 2.61-2.66
Br 0.1312 0.0000 0.7493  2 Nb 2.74-2.75
Br 0.1369 0.2453 0.4583  1 Nb 2.64
Br 0.2350 0.0000 0.2891  1 Nb 2.63
Br 0.2500 0.2500 0.0000  2 Nb 2.73

Summary:
The calculation puts the calculated volume at 1877 Å³/cell. For the uncorrected formation energy, the calculation gives -698 meV/atom. The size of the total moment is 24.07 Bohr magnetons per cell. The total energy is -4.1423 eV per atom.


No. 3
The following is a DFT calculation (GGA-PBE) of an optimized crystal structure of NbTl3Br8.

Lattice parameters (Å, degrees): 9.7708 9.7708 10.3745 90.00 90.00 120.00
Closest atoms and distances in Å follow each position.
Space group P6_3mc (No. 186)
Inequivalent atoms, fractional coordinates:
Nb 0.3333 0.6667 0.0000  6 Br 2.51-2.59
Tl 0.1493 0.2986 0.5162  4 Br 3.12-3.46
Br 0.0000 0.0000 0.3001  3 Tl 3.38
Br 0.0864 0.5432 0.8652  1 Nb 2.51
Br 0.2104 0.4208 0.1484  1 Nb 2.59
Br 0.3333 0.6667 0.5319  3 Tl 3.12

Summary:
The calculation puts the calculated volume at 858 Å³/cell. For the uncorrected formation energy, the calculation gives -826 meV/atom. The size of the total moment is 0.00 Bohr magnetons per cell. The total energy is -3.3722 eV per atom.


No. 4
The following is a DFT calculation (GGA-PBE) of an optimized crystal structure of NbTlBr4.

Lattice parameters (Å, degrees): 9.5799 14.2438 7.2076 90.00 110.64 90.00
Closest atoms and distances in Å follow each position.
Space group C2/c (No. 15)
Inequivalent atoms, fractional coordinates:
Nb 0.0000 0.0012 0.2500  6 Br 2.61-2.68
Tl 0.0000 0.3665 0.2500  4 Br 3.20-3.25
Br 0.0032 0.1386 0.5036  2 Nb 2.67-2.68
Br 0.2090 0.4951 0.6140  1 Nb 2.61

Summary:
The calculation puts the calculated volume at 920 Å³/cell. For the uncorrected formation energy, the calculation gives -774 meV/atom. The size of the total moment is 5.61 Bohr magnetons per cell. The total energy is -3.9616 eV per atom.


No. 5
The following is a DFT calculation (GGA-PBE) of an optimized crystal structure of Nb4TlBr7.

Lattice parameters (Å, degrees): 6.9263 14.1998 7.6962 90.00 98.52 90.00
Closest atoms and distances in Å follow each position.
Space group P2_1/m (No. 11)
Inequivalent atoms, fractional coordinates:
Nb 0.0596 0.0628 0.2606  2 Nb 2.58, 4 Br 2.66-2.85
Nb 0.1979 0.0159 0.5779  3 Nb 2.58-2.86, 3 Br 2.65-2.77
Tl 0.1298 0.7500 0.4471  7 Br 3.28-3.46
Br 0.1175 0.1010 0.8652  2 Nb 2.65-2.74
Br 0.2092 0.2500 0.2974  2 Nb 2.85
Br 0.3005 0.6313 0.8092  2 Nb 2.66-2.77
Br 0.3694 0.5579 0.3132  2 Nb 2.72-2.73

Summary:
The calculation puts the calculated volume at 749 Å³/cell. For the uncorrected formation energy, the calculation gives -493 meV/atom. The size of the total moment is 0.00 Bohr magnetons per cell. The total energy is -5.0225 eV per atom.


No. 6
The following is a DFT calculation (GGA-PBE) of an optimized crystal structure of NbTlBr3.

Lattice parameters (Å, degrees): 9.2545 3.5983 9.7659 90.00 106.86 90.00
Closest atoms and distances in Å follow each position.
Space group P2_1/m (No. 11)
Inequivalent atoms, fractional coordinates:
Nb 0.0850 0.2500 0.1089  6 Br 2.60-2.80, 2 Nb 2.88
Tl 0.3064 0.2500 0.5899  3 Br 3.15-3.35
Br 0.0365 0.7500 0.3109  2 Nb 2.80
Br 0.2079 0.7500 0.9764  3 Nb 2.60-2.66
Br 0.3767 0.2500 0.2934  1 Nb 2.78

Summary:
The calculation puts the calculated volume at 311 Å³/cell. For the uncorrected formation energy, the calculation gives -734 meV/atom. The size of the total moment is 0.40 Bohr magnetons per cell. Its energy above the most stable polymorph in this dataset is 0.0 meV per atom. The total energy is -4.2248 eV per atom.